Tl4ReCl: optimized geometry, PBE-GGA.

```
Tl4ReCl
1.0
0.0000 4.4486 4.4486
4.4486 0.0000 4.4486
4.4486 4.4486 0.0000
Tl Re Cl
4 1 1
direct
0.8755 0.3748 0.3748
0.3748 0.3748 0.8755
0.3748 0.8755 0.3748
0.3748 0.3748 0.3748
0.0000 0.0000 0.0000
0.7500 0.7500 0.7500
```

=====

TlReCl: optimized geometry, PBE-GGA.

```
TlReCl
1.0
-2.4862 1.8681 3.4705
4.2056 -1.8134 0.8603
1.2589 2.6665 -0.5334
Cl Re Tl
1 1 1
direct
0.0000 0.0000 0.1668
0.6667 0.3333 0.1668
0.3333 0.6667 0.6665
```

=====

TlReCl6: optimized geometry, PBE-GGA.

```
TlReCl6
1.0
6.7763 0.0000 0.0000
3.3882 5.8685 0.0000
3.3882 1.9562 6.2008
Tl Re Cl
1 1 6
direct
0.5000 0.5000 0.5000
0.0000 0.0000 0.0000
0.9109 0.9109 0.7824
0.3958 0.9109 0.7824
0.0891 0.6042 0.2176
0.6042 0.0891 0.2176
0.0891 0.0891 0.2176
0.9109 0.3958 0.7824
```

=====

TlReCl3: optimized geometry, PBE-GGA.

```
TlReCl3
1.0
-0.6433 -1.3132 -4.7543
1.2729 -4.6764 1.1194
-4.7653 -1.0719 0.9408
Re Tl Cl
1 1 3
direct
0.0000 0.0000 0.0000
0.5000 0.5000 0.5000
0.0000 0.5000 0.0000
0.0000 0.0000 0.5000
0.5000 0.0000 0.0000
```

=====

TlReCl: optimized geometry, PBE-GGA.

```
TlReCl
1.0
6.0503 -0.0039 -0.0071
4.1645 4.3890 0.0071
-4.8525 -2.7864 2.3013
Cl Re Tl
1 1 1
direct
0.9479 0.9479 0.0000
0.3820 0.3820 0.0000
0.6701 0.6701 0.0000
```

=====

Tl2ReCl8: optimized geometry, PBE-GGA.

```
Tl2ReCl8
1.0
9.0299 0.0000 3.9677
-1.6660 4.1893 3.7915
0.7824 0.5964 10.4785
Re Tl Cl
1 2 8
direct
0.0000 0.0000 0.0000
0.6261 0.0604 0.7479
0.3739 0.9396 0.2521
0.2620 0.0347 0.8052
0.9327 0.0347 0.8052
0.7380 0.9653 0.1948
0.3900 0.4809 0.2200
0.0673 0.9653 0.1948
0.8700 0.4140 0.2600
0.1300 0.5860 0.7400
0.6100 0.5191 0.7800
```

=====

TlReCl4: optimized geometry, PBE-GGA.

```
TlReCl4
1.0
8.0963 0.3619 -3.0291
-3.2944 6.3293 -1.5622
-1.1032 -0.3649 8.1160
Tl Re Cl
2 2 8
direct
0.4024 0.1626 0.7327
0.5976 0.8374 0.2673
0.0560 0.8870 0.0449
0.9440 0.1130 0.9551
0.2180 0.4398 0.1838
0.6113 0.8864 0.6833
0.1806 0.8173 0.8539
0.9969 0.8439 0.2895
0.7820 0.5602 0.8162
0.8194 0.1827 0.1461
0.3887 0.1136 0.3167
0.0031 0.1561 0.7105
```

=====

TlReCl: optimized geometry, PBE-GGA.

```
TlReCl
1.0
4.6682 0.0000 0.0000
2.3341 4.0428 0.0000
2.3341 1.3476 3.8116
Cl Re Tl
1 1 1
direct
0.5000 0.5000 0.5000
0.7500 0.7500 0.7500
0.0000 0.0000 0.0000
```

=====

| no. | final energy (eV per cell) | uncorrected formation energy (eV/atom) |
| --- | --- | --- |
| 1 | -18.37 | 0.90 |
| 2 | -13.59 | 1.02 |
| 3 | -31.42 | -0.69 |
| 4 | -20.91 | -0.11 |
| 5 | -13.65 | 1.00 |
| 6 | -39.42 | -0.68 |
| 7 | -53.60 | -0.77 |
| 8 | -12.62 | 1.35 |